No. 1
A plane-wave DFT calculation with PBE was carried out for an optimized crystal structure of Th4GePtS2. Values from VASP.

Calculated values
Its symmetry is P2/m (10). The calculation puts the total moment at 0.00 μB per formula unit. The value obtained for the uncorrected formation energy is -1368 meV per atom.

Geometry as Quantum ESPRESSO input:
```
&SYSTEM
  ibrav = 0, nat = 8, ntyp = 4
/
ATOMIC_SPECIES
Th 232.04 Th.upf
Ge 72.64 Ge.upf
Pt 195.08 Pt.upf
S 32.06 S.upf
CELL_PARAMETERS angstrom
7.143 0.000 0.000
0.000 4.128 0.000
-2.444 0.000 6.984
ATOMIC_POSITIONS crystal
Th 0.244 0.000 0.248
Th 0.254 0.500 0.755
Th 0.746 0.500 0.245
Th 0.756 0.000 0.752
Ge 0.500 0.500 0.500
Pt 0.500 0.000 0.000
S 0.000 0.000 0.500
S 0.000 0.500 0.000
```

No. 2
A plane-wave DFT calculation with PBE was carried out for an optimized crystal structure of SrRe2W. Values from VASP.

Calculated values
Its symmetry is R-3m (166). The calculation puts the total moment at 0.00 μB per formula unit. Its energy above the most stable polymorph in this dataset is 137 meV per atom. As for the energy of formation: 0.86 eV/atom.

Geometry as Quantum ESPRESSO input:
```
&SYSTEM
  ibrav = 0, nat = 4, ntyp = 3
/
ATOMIC_SPECIES
Sr 87.62 Sr.upf
Re 186.21 Re.upf
W 183.84 W.upf
CELL_PARAMETERS angstrom
1.521 0.878 9.451
-1.521 0.878 9.451
0.000 -1.756 9.451
ATOMIC_POSITIONS crystal
Sr 0.000 0.000 0.000
Re 0.236 0.236 0.236
Re 0.764 0.764 0.764
W 0.500 0.500 0.500
```

No. 3
A plane-wave DFT calculation with PBE was carried out for an optimized crystal structure of Cs3In2O4. Values from VASP.

Calculated values
Its symmetry is C2/c (15). The calculation puts the total moment at 0.00 μB per formula unit. The value obtained for the uncorrected formation energy is -1263 meV per atom.

Geometry as Quantum ESPRESSO input:
```
&SYSTEM
  ibrav = 0, nat = 18, ntyp = 3
/
ATOMIC_SPECIES
Cs 132.91 Cs.upf
In 114.82 In.upf
O 16.00 O.upf
CELL_PARAMETERS angstrom
6.346 -5.401 0.000
6.346 5.401 0.000
-0.218 0.000 6.827
ATOMIC_POSITIONS crystal
Cs 0.073 0.927 0.750
Cs 0.210 0.570 0.437
Cs 0.430 0.790 0.063
Cs 0.570 0.210 0.937
Cs 0.790 0.430 0.563
Cs 0.927 0.073 0.250
In 0.131 0.350 0.944
In 0.350 0.131 0.444
In 0.650 0.869 0.556
In 0.869 0.650 0.056
O 0.129 0.609 0.995
O 0.172 0.260 0.643
O 0.260 0.172 0.143
O 0.391 0.871 0.505
O 0.609 0.129 0.495
O 0.740 0.828 0.857
O 0.828 0.740 0.357
O 0.871 0.391 0.005
```

No. 4
A plane-wave DFT calculation with PBE was carried out for an optimized crystal structure of Ce2CdOs. Values from VASP.

Calculated values
Its symmetry is P4/mmm (123). The calculation puts the total moment at 0.31 μB per formula unit. Its energy above the most stable polymorph in this dataset is 187 meV per atom. As for the energy of formation: -0.02 eV/atom.

Geometry as Quantum ESPRESSO input:
```
&SYSTEM
  ibrav = 0, nat = 4, ntyp = 3
/
ATOMIC_SPECIES
Ce 140.12 Ce.upf
Cd 112.41 Cd.upf
Os 190.23 Os.upf
CELL_PARAMETERS angstrom
4.950 0.000 0.000
0.000 4.950 0.000
0.000 0.000 3.807
ATOMIC_POSITIONS crystal
Ce 0.000 0.500 0.000
Ce 0.500 0.000 0.000
Cd 0.000 0.000 0.500
Os 0.500 0.500 0.500
```

No. 5
A plane-wave DFT calculation with PBE was carried out for an optimized crystal structure of Na2TlZnO4. Values from VASP.

Calculated values
Its symmetry is P2/m (10). The calculation puts the total moment at 1.07 μB per formula unit. The value obtained for the uncorrected formation energy is -1068 meV per atom.

Geometry as Quantum ESPRESSO input:
```
&SYSTEM
  ibrav = 0, nat = 8, ntyp = 4
/
ATOMIC_SPECIES
Na 22.99 Na.upf
Tl 204.38 Tl.upf
Zn 65.41 Zn.upf
O 16.00 O.upf
CELL_PARAMETERS angstrom
5.586 0.000 0.000
0.000 3.302 0.000
-1.815 0.000 5.521
ATOMIC_POSITIONS crystal
Na 0.000 0.000 0.000
Na 0.500 0.500 0.000
Tl 0.000 0.500 0.500
Zn 0.500 0.000 0.500
O 0.260 0.000 0.719
O 0.272 0.500 0.288
O 0.728 0.500 0.712
O 0.740 0.000 0.281
```

No. 6
A plane-wave DFT calculation with PBE was carried out for an optimized crystal structure of La2YInRh. Values from VASP.

Calculated values
Its symmetry is P4/mmm (123). The calculation puts the total moment at 0.00 μB per formula unit. As for the energy of formation: -0.41 eV/atom.

Geometry as Quantum ESPRESSO input:
```
&SYSTEM
  ibrav = 0, nat = 5, ntyp = 4
/
ATOMIC_SPECIES
La 138.91 La.upf
Y 88.91 Y.upf
In 114.82 In.upf
Rh 102.91 Rh.upf
CELL_PARAMETERS angstrom
5.447 0.000 0.000
0.000 5.447 0.000
0.000 0.000 5.505
ATOMIC_POSITIONS crystal
La 0.000 0.500 0.000
La 0.500 0.000 0.000
Y 0.000 0.000 0.500
In 0.500 0.500 0.500
Rh 0.000 0.000 0.000
```